i:
A geometry-optimized AgSeF2 structure. Source: the Alexandria database, functional GGA-PBE.

The space group is No. 122.

a = 7.7662 Å, b = 7.7662 Å, c = 6.0446 Å
α = 50.03°, β = 50.03°, γ = 90.00°
Closest atoms and distances in Å follow each position.
Fractional positions:
Se1 0.2500 0.7500 0.5000  4 F 2.22
F1 0.2617 0.6250 0.2500  2 Se 2.22
F2 0.8750 0.7383 0.7500  2 Se 2.22
F3 0.4883 0.1250 0.2500  2 Se 2.22
F4 0.3750 0.5117 0.7500  2 Se 2.22
Se2 0.5000 0.5000 0.0000  4 F 2.22
Ag1 0.0000 0.0000 0.0000  2 Se 2.53
Ag2 0.7500 0.2500 0.5000  2 Se 2.53

=====

ii:
A geometry-optimized AgSeF2 structure. Source: the Alexandria database, functional GGA-PBE.

The space group is No. 166.

a = 8.0133 Å, b = 8.0133 Å, c = 8.0133 Å
α = 22.06°, β = 22.06°, γ = 22.06°
Closest atoms and distances in Å follow each position.
Fractional positions:
F1 0.0842 0.0842 0.0842  1 Se 1.97
Ag1 0.5000 0.5000 0.5000  6 F 2.62
F2 0.9158 0.9158 0.9158  1 Se 1.97
Se1 0.0000 0.0000 0.0000  2 F 1.97

=====

iii:
A geometry-optimized AgSeF2 structure. Source: the Alexandria database, functional GGA-PBE.

The space group is No. 225.

a = 4.3332 Å, b = 4.3332 Å, c = 4.3332 Å
α = 60.00°, β = 60.00°, γ = 60.00°
Closest atoms and distances in Å follow each position.
Fractional positions:
F1 0.2500 0.2500 0.2500  4 Se 2.65, 4 Ag 2.65
Se1 0.0000 0.0000 0.0000  8 F 2.65
F2 0.7500 0.7500 0.7500  4 Ag 2.65, 4 Se 2.65
Ag1 0.5000 0.5000 0.5000  8 F 2.65

=====

Which of them is the least stable? Correct choice: iii.

=====

i:
A geometry-optimized AgSeF6 structure. Source: the Alexandria database, functional GGA-PBE.

The space group is No. 149.

a = 5.0744 Å, b = 5.3265 Å, c = 5.3265 Å
α = 120.00°, β = 90.00°, γ = 90.00°
Closest atoms and distances in Å follow each position.
Fractional positions:
Se1 0.0000 0.6667 0.3333  6 F 1.89
F1 0.2187 0.6767 0.6263  1 Se 1.89
F2 0.7813 0.6767 0.0504  1 Se 1.89
F3 0.2187 0.9496 0.3233  1 Se 1.89
F4 0.7813 0.3737 0.3233  1 Se 1.89
F5 0.7813 0.9496 0.6263  1 Se 1.89
Ag1 0.5000 0.0000 0.0000  6 F 2.35
F6 0.2187 0.3737 0.0504  1 Se 1.89

=====

ii:
A geometry-optimized AgSeF6 structure. Source: the Alexandria database, functional GGA-PBE.

The space group is No. 12.

a = 5.1217 Å, b = 5.1217 Å, c = 5.3140 Å
α = 71.48°, β = 71.48°, γ = 76.36°
Closest atoms and distances in Å follow each position.
Fractional positions:
F1 0.8440 0.2661 0.7271  1 Se 1.89
Se1 0.0000 0.0000 0.0000  6 F 1.88-1.89
F2 0.2462 0.2462 0.9426  1 Se 1.88
F3 0.7339 0.1560 0.2729  1 Se 1.89
F4 0.2661 0.8440 0.7271  1 Se 1.89
Ag1 0.5000 0.5000 0.5000  6 F 2.33-2.41
F5 0.7538 0.7538 0.0574  1 Se 1.88
F6 0.1560 0.7339 0.2729  1 Se 1.89

=====

Which of them is the least stable? Correct choice: ii.

=====

i:
A geometry-optimized Ag4SeF structure. Source: the Alexandria database, functional GGA-PBE.

The space group is No. 11.

a = 6.1144 Å, b = 6.8855 Å, c = 6.3322 Å
α = 90.00°, β = 90.00°, γ = 63.89°
Closest atoms and distances in Å follow each position.
Fractional positions:
Ag1 0.1276 0.6360 0.7500  1 F 2.43, 1 Se 2.61
Ag2 0.3195 0.2332 0.0224  1 F 2.48, 2 Se 2.69-2.76
F1 0.4627 0.6593 0.2500  4 Ag 2.25-2.48
Ag3 0.8724 0.3640 0.2500  1 F 2.43, 1 Se 2.61
F2 0.5373 0.3407 0.7500  4 Ag 2.25-2.48
Ag4 0.3195 0.2332 0.4776  1 F 2.48, 2 Se 2.69-2.76
Se1 0.7325 0.0560 0.2500  6 Ag 2.61-2.76
Ag5 0.6805 0.7668 0.9776  1 F 2.48, 2 Se 2.69-2.76
Ag6 0.6805 0.7668 0.5224  1 F 2.48, 2 Se 2.69-2.76
Se2 0.2675 0.9440 0.7500  6 Ag 2.61-2.76
Ag7 0.1024 0.6440 0.2500  1 F 2.25
Ag8 0.8976 0.3560 0.7500  1 F 2.25

=====

ii:
A geometry-optimized Ag4SeF structure. Source: the Alexandria database, functional GGA-PBE.

The space group is No. 109.

a = 7.0154 Å, b = 7.0154 Å, c = 7.0154 Å
α = 109.21°, β = 109.21°, γ = 110.00°
Closest atoms and distances in Å follow each position.
Fractional positions:
Ag1 0.2534 0.4801 0.7733  2 F 2.28-2.36
Se1 0.4688 0.9688 0.5000  6 Ag 2.65-2.76
Ag2 0.2301 0.5034 0.2733  2 F 2.28-2.36
Ag3 0.7624 0.0859 0.3234  2 Se 2.65-2.76, 1 F 2.70, 1 Ag 2.87
Ag4 0.2301 0.9568 0.7267  2 F 2.28-2.36
F1 0.0461 0.5461 0.5000  4 Ag 2.28-2.36
Ag5 0.7068 0.4801 0.2267  2 F 2.28-2.36
Se2 0.7188 0.7188 0.0000  6 Ag 2.65-2.76
Ag6 0.7624 0.4390 0.6766  2 Se 2.65-2.76, 1 F 2.70, 1 Ag 2.87
F2 0.2961 0.2961 0.0000  4 Ag 2.28-2.36
Ag7 0.8359 0.0124 0.8234  2 Se 2.65-2.76, 1 F 2.70, 1 Ag 2.87
Ag8 0.1890 0.0124 0.1766  2 Se 2.65-2.76, 1 F 2.70, 1 Ag 2.87

=====

Which of them is the least stable? Correct choice: ii.

=====

i:
A geometry-optimized Ag2SeF6 structure. Source: the Alexandria database, functional GGA-PBE.

The space group is No. 14.

a = 6.0222 Å, b = 6.9405 Å, c = 7.5187 Å
α = 90.00°, β = 90.00°, γ = 114.92°
Closest atoms and distances in Å follow each position.
Fractional positions:
F1 0.3338 0.1030 0.6763  1 Se 1.97
F2 0.7768 0.2827 0.4993  1 Se 1.97
Ag1 0.2758 0.1367 0.0001  6 F 2.46-2.54
F3 0.2768 0.7827 0.0007  1 Se 1.97
F4 0.8338 0.6030 0.8237  1 Se 1.97
Ag2 0.7758 0.6367 0.4999  6 F 2.46-2.54
F5 0.6677 0.8981 0.6760  1 Se 1.97
Ag3 0.2242 0.3633 0.5001  6 F 2.46-2.54
F6 0.1677 0.3981 0.8240  1 Se 1.97
F7 0.1662 0.3970 0.1763  1 Se 1.97
F8 0.7232 0.2173 0.9993  1 Se 1.97
Ag4 0.7242 0.8633 0.9999  6 F 2.46-2.54
F9 0.2232 0.7173 0.5007  1 Se 1.97
Se1 0.5000 0.0000 0.5000  6 F 1.97
F10 0.8323 0.6019 0.1760  1 Se 1.97
F11 0.6662 0.8970 0.3237  1 Se 1.97
Se2 0.0000 0.5000 0.0000  6 F 1.97
F12 0.3323 0.1019 0.3240  1 Se 1.97

=====

ii:
A geometry-optimized Ag2SeF6 structure. Source: the Alexandria database, functional GGA-PBE.

The space group is No. 136.

a = 5.3547 Å, b = 5.3547 Å, c = 10.5744 Å
α = 90.00°, β = 90.00°, γ = 90.00°
Closest atoms and distances in Å follow each position.
Fractional positions:
F1 0.3224 0.3224 0.8632  1 Se 1.98
Ag1 0.5000 0.5000 0.6600  6 F 2.45-2.54
Ag2 0.0000 0.0000 0.1600  6 F 2.45-2.54
F2 0.6776 0.6776 0.1368  1 Se 1.98
F3 0.6776 0.6776 0.8632  1 Se 1.98
F4 0.7594 0.2406 0.0000  1 Se 1.96
F5 0.8224 0.1776 0.3632  1 Se 1.98
F6 0.2594 0.2594 0.5000  1 Se 1.96
F7 0.2406 0.7594 0.0000  1 Se 1.96
F8 0.3224 0.3224 0.1368  1 Se 1.98
Ag3 0.0000 0.0000 0.8400  6 F 2.45-2.54
Ag4 0.5000 0.5000 0.3400  6 F 2.45-2.54
F9 0.7406 0.7406 0.5000  1 Se 1.96
F10 0.1776 0.8224 0.3632  1 Se 1.98
F11 0.1776 0.8224 0.6368  1 Se 1.98
Se1 0.0000 0.0000 0.5000  6 F 1.96-1.98
F12 0.8224 0.1776 0.6368  1 Se 1.98
Se2 0.5000 0.5000 0.0000  6 F 1.96-1.98

=====

Which of them is the least stable? Correct choice: i.

=====

i:
A geometry-optimized YAgSeF2 structure. Source: the Alexandria database, functional GGA-PBE.

The space group is No. 123.

a = 4.3008 Å, b = 4.3008 Å, c = 5.8178 Å
α = 90.00°, β = 90.00°, γ = 90.00°
Closest atoms and distances in Å follow each position.
Fractional positions:
Ag1 0.5000 0.5000 0.5000  4 Se 3.04
F1 0.5000 0.0000 0.0000  2 Y 2.15
F2 0.0000 0.5000 0.0000  2 Y 2.15
Se1 0.0000 0.0000 0.5000  2 Y 2.91, 4 Ag 3.04
Y1 0.0000 0.0000 0.0000  4 F 2.15

=====

ii:
A geometry-optimized YAgSeF2 structure. Source: the Alexandria database, functional GGA-PBE.

The space group is No. 123.

a = 4.3558 Å, b = 5.2250 Å, c = 4.3558 Å
α = 90.00°, β = 90.00°, γ = 90.00°
Closest atoms and distances in Å follow each position.
Fractional positions:
Ag1 0.0000 0.0000 0.0000  4 F 2.18
Y1 0.5000 0.5000 0.5000  4 Se 3.08, 8 F 3.40
Se1 0.0000 0.5000 0.0000  2 Ag 2.61
F1 0.0000 0.0000 0.5000  2 Ag 2.18
F2 0.5000 0.0000 0.0000  2 Ag 2.18

=====

Which of them is the least stable? Correct choice: ii.

=====

i:
A geometry-optimized Ag2SnF8 structure. Source: the Alexandria database, functional GGA-PBE.

The space group is No. 12.

a = 3.9831 Å, b = 5.4105 Å, c = 7.2466 Å
α = 101.35°, β = 105.95°, γ = 90.00°
Closest atoms and distances in Å follow each position.
Fractional positions:
Ag1 0.1527 0.6018 0.3054  2 F 2.06-2.24
F1 0.4249 0.6338 0.8497  1 Sn 2.04
Ag2 0.8473 0.3982 0.6946  2 F 2.06-2.24
F2 0.3639 0.0584 0.7277  1 Sn 1.99
F3 0.2396 0.3360 0.4791  1 Ag 2.06
Sn1 0.5000 0.0000 0.0000  4 F 1.99-2.04
F4 0.0301 0.8116 0.0602  1 Ag 2.24, 2 Sn 2.31, 3 F 2.36-2.49
F5 0.6361 0.9416 0.2723  1 Sn 1.99
F6 0.9699 0.1884 0.9398  1 Ag 2.24, 2 Sn 2.31, 3 F 2.36-2.49
F7 0.5751 0.3662 0.1503  1 Sn 2.04
F8 0.7604 0.6640 0.5209  1 Ag 2.06

=====

ii:
A geometry-optimized Ag2SnF8 structure. Source: the Alexandria database, functional GGA-PBE.

The space group is No. 12.

a = 4.8531 Å, b = 5.9745 Å, c = 5.9745 Å
α = 76.04°, β = 83.59°, γ = 83.59°
Closest atoms and distances in Å follow each position.
Fractional positions:
F1 0.7910 0.9327 0.3138  1 Sn 2.00
F2 0.7558 0.4135 0.4135  1 Ag 2.07
F3 0.2090 0.6862 0.0673  1 Sn 2.00
F4 0.2880 0.1359 0.1359  1 Sn 2.02, 1 Ag 2.14
F5 0.2442 0.5865 0.5865  1 Ag 2.07
F6 0.7910 0.3138 0.9327  1 Sn 2.00
F7 0.7120 0.8641 0.8641  1 Sn 2.02, 1 Ag 2.14
Ag1 0.2721 0.3646 0.3646  4 F 2.07-2.30
Sn1 0.0000 0.0000 0.0000  6 F 2.00-2.02
Ag2 0.7279 0.6354 0.6354  4 F 2.07-2.30
F8 0.2090 0.0673 0.6862  1 Sn 2.00

=====

Which of them is the least stable? Correct choice: i.

=====

i:
A geometry-optimized Ag5Sn2F12 structure. Source: the Alexandria database, functional GGA-PBE.

The space group is No. 12.

a = 7.8666 Å, b = 7.5169 Å, c = 7.0187 Å
α = 118.83°, β = 90.00°, γ = 121.55°
Closest atoms and distances in Å follow each position.
Fractional positions:
Ag1 0.3637 0.7275 0.2794  5 F 2.46-2.67
F1 0.6127 0.2253 0.0756  2 Sn 2.31, 1 Ag 2.32, 3 F 2.45-2.58
Sn1 0.7491 0.0000 0.0000  6 F 2.07-2.31
Sn2 0.2509 0.0000 0.0000  6 F 2.07-2.31
Ag2 0.2376 0.4751 0.5275  3 F 2.32-2.53
F2 0.0034 0.0067 0.8301  1 Ag 2.29, 2 Sn 2.32, 1 F 2.43
F3 0.3873 0.7747 0.9244  2 Sn 2.31, 1 Ag 2.32, 3 F 2.45-2.58
Ag3 0.0000 0.0000 0.5000  2 F 2.29
F4 0.7173 0.0526 0.3114  1 Sn 2.07
Ag4 0.7624 0.5249 0.4725  3 F 2.32-2.53
F5 0.6191 0.6193 0.8037  1 Sn 2.07
F6 0.3354 0.0526 0.3114  1 Sn 2.07
F7 0.3809 0.3807 0.1963  1 Sn 2.07
F8 0.6646 0.9474 0.6886  1 Sn 2.07
F9 0.0002 0.6193 0.8037  1 Sn 2.07
F10 0.2827 0.9474 0.6886  1 Sn 2.07
Ag5 0.6363 0.2725 0.7206  5 F 2.46-2.67
F11 0.9998 0.3807 0.1963  1 Sn 2.07
F12 0.9966 0.9933 0.1699  1 Ag 2.29, 2 Sn 2.32, 1 F 2.43

=====

ii:
A geometry-optimized Ag5Sn2F12 structure. Source: the Alexandria database, functional GGA-PBE.

The space group is No. 12.

a = 6.7946 Å, b = 6.9870 Å, c = 8.7140 Å
α = 102.76°, β = 90.00°, γ = 119.09°
Closest atoms and distances in Å follow each position.
Fractional positions:
Ag1 0.7101 0.4202 0.3859  6 F 2.45-2.63
F1 0.4053 0.3167 0.1501  1 Sn 2.04
F2 0.1037 0.7300 0.4580  4 Ag 2.28-2.54
F3 0.9551 0.9102 0.1259  2 Sn 2.16
F4 0.6263 0.7300 0.4580  4 Ag 2.28-2.54
F5 0.5458 0.0917 0.8732  2 Sn 2.18
F6 0.3737 0.2700 0.5420  4 Ag 2.28-2.54
F7 0.8963 0.2700 0.5420  4 Ag 2.28-2.54
F8 0.0449 0.0898 0.8741  2 Sn 2.16
Sn1 0.2483 0.0000 0.0000  6 F 2.04-2.18
F9 0.5947 0.6833 0.8499  1 Sn 2.04
F10 0.4542 0.9083 0.1268  2 Sn 2.18
Ag2 0.2899 0.5798 0.6141  6 F 2.45-2.63
Ag3 0.2951 0.5902 0.2883  4 F 2.33-2.46
Sn2 0.7517 0.0000 0.0000  6 F 2.04-2.18
F11 0.0885 0.6833 0.8499  1 Sn 2.04
Ag4 0.7049 0.4098 0.7117  4 F 2.33-2.46
Ag5 0.0000 0.0000 0.5000  4 F 2.28
F12 0.9115 0.3167 0.1501  1 Sn 2.04

=====

Which of them is the least stable? Correct choice: ii.

=====

i:
A geometry-optimized Sr2AgF6 structure. Source: the Alexandria database, functional GGA-PBE.

The space group is No. 71.

a = 4.0281 Å, b = 5.7360 Å, c = 7.0969 Å
α = 113.84°, β = 106.49°, γ = 90.00°
Closest atoms and distances in Å follow each position.
Fractional positions:
Ag1 0.0000 0.0000 0.0000  8 F 2.41-2.47
F1 0.8359 0.0814 0.6715  1 Ag 2.47, 3 Sr 2.49-2.52
F2 0.5000 0.2313 0.0000  2 Ag 2.41, 2 Sr 2.57, 1 F 2.65
F3 0.1641 0.4099 0.3285  1 Ag 2.47, 3 Sr 2.49-2.52
F4 0.1641 0.9186 0.3285  1 Ag 2.47, 3 Sr 2.49-2.52
F5 0.5000 0.7687 0.0000  2 Ag 2.41, 2 Sr 2.57, 1 F 2.65
F6 0.8359 0.5901 0.6715  1 Ag 2.47, 3 Sr 2.49-2.52
Sr1 0.6662 0.6663 0.3326  8 F 2.49-2.57
Sr2 0.3338 0.3337 0.6674  8 F 2.49-2.57

=====

ii:
A geometry-optimized Sr2AgF6 structure. Source: the Alexandria database, functional GGA-PBE.

The space group is No. 136.

a = 5.3539 Å, b = 5.3539 Å, c = 11.5802 Å
α = 90.00°, β = 90.00°, γ = 90.00°
Closest atoms and distances in Å follow each position.
Fractional positions:
F1 0.1859 0.8141 0.1640  1 Ag 2.36, 2 Sr 2.38-2.41
Ag1 0.0000 0.0000 0.0000  6 F 2.14-2.36
Sr1 0.5000 0.5000 0.8335  6 F 2.38-2.54
Ag2 0.5000 0.5000 0.5000  6 F 2.14-2.36
F2 0.6859 0.6859 0.6640  1 Ag 2.36, 2 Sr 2.38-2.41
F3 0.7821 0.2179 0.5000  1 Ag 2.14
F4 0.6859 0.6859 0.3360  1 Ag 2.36, 2 Sr 2.38-2.41
F5 0.8141 0.1859 0.1640  1 Ag 2.36, 2 Sr 2.38-2.41
F6 0.1859 0.8141 0.8360  1 Ag 2.36, 2 Sr 2.38-2.41
F7 0.7179 0.7179 0.0000  1 Ag 2.14
F8 0.3141 0.3141 0.6640  1 Ag 2.36, 2 Sr 2.38-2.41
F9 0.3141 0.3141 0.3360  1 Ag 2.36, 2 Sr 2.38-2.41
F10 0.2179 0.7821 0.5000  1 Ag 2.14
F11 0.2821 0.2821 0.0000  1 Ag 2.14
F12 0.8141 0.1859 0.8360  1 Ag 2.36, 2 Sr 2.38-2.41
Sr2 0.5000 0.5000 0.1665  6 F 2.38-2.54
Sr3 0.0000 0.0000 0.3335  6 F 2.38-2.54
Sr4 0.0000 0.0000 0.6665  6 F 2.38-2.54

=====

Which of them is the least stable? Correct choice: ii.